KTlRu2: optimized geometry, PBE-GGA.

Structure (POSCAR):
```
KTlRu2
1.0
5.9958 0.0000 0.0000
0.0000 9.4387 0.0000
0.0000 0.0000 2.8654
K Tl Ru
2 2 4
Cartesian
0.0000 0.0000 0.0000
2.9979 4.7193 0.0000
0.0000 4.7193 0.0000
2.9979 0.0000 0.0000
1.4989 2.3597 1.4327
1.4989 7.0790 1.4327
4.4968 2.3597 1.4327
4.4968 7.0790 1.4327
```

Values from the calculation:
Offset from the most stable computed form = 725.4 meV/atom
DFT total energy = -4.29 eV/atom
Energy relative to the elements = 1.214 eV per atom
N(E_F) = 10.18 states/eV per cell
Theoretical density = 9.1 g/cm3